## CdBRh3 (PBE)

Data for an optimized crystal structure of CdBRh3.

The structure in POSCAR format:
```
CdBRh3
1.0
2.4467 1.4126 7.2786
-2.4467 1.4126 7.2786
0.0000 -2.8252 7.2786
Cd B Rh
2 2 6
Direct
0.1681 0.1681 0.1681 Cd
0.8319 0.8319 0.8319 Cd
0.3337 0.3337 0.3337 B
0.6663 0.6663 0.6663 B
0.0576 0.7344 0.3871 Rh
0.2656 0.6129 0.9424 Rh
0.3871 0.0576 0.7344 Rh
0.6129 0.9424 0.2656 Rh
0.7344 0.3871 0.0576 Rh
0.9424 0.2656 0.6129 Rh
```

Output
space group	R-3
formation enthalpy at 0 K	-0.48	eV/f.u.
offset from the most stable computed form	115.7	meV/atom



## Th2Ni9Sn (PBE)

Data for an optimized crystal structure of Th2Ni9Sn.

The structure in POSCAR format:
```
Th2Ni9Sn
1.0
2.4788 1.4312 8.3396
-2.4788 1.4312 8.3396
0.0000 -2.8623 8.3396
Th Ni Sn
2 9 1
Direct
0.1332 0.1332 0.1332 Th
0.8668 0.8668 0.8668 Th
0.0817 0.5824 0.5824 Ni
0.3328 0.3328 0.3328 Ni
0.4176 0.4176 0.9183 Ni
0.4176 0.9183 0.4176 Ni
0.5000 0.5000 0.5000 Ni
0.5824 0.0817 0.5824 Ni
0.5824 0.5824 0.0817 Ni
0.6672 0.6672 0.6672 Ni
0.9183 0.4176 0.4176 Ni
0.0000 0.0000 0.0000 Sn
```

Output
space group	R-3m
formation enthalpy at 0 K	-3.08	eV/f.u.



## LiHfMg2Ga (PBE)

Data for an optimized crystal structure of LiHfMg2Ga.

The structure in POSCAR format:
```
LiHfMg2Ga
1.0
4.9537 0.0000 0.0000
0.0000 4.9537 0.0000
0.0000 0.0000 4.5394
Li Hf Mg Ga
1 1 2 1
Direct
0.0000 0.0000 0.0000 Li
0.5000 0.5000 0.0000 Hf
0.0000 0.5000 0.5000 Mg
0.5000 0.0000 0.5000 Mg
0.0000 0.0000 0.5000 Ga
```

Output
space group	P4/mmm
formation enthalpy at 0 K	2.70	eV/f.u.



## NdSm6Ho (PBE)

Data for an optimized crystal structure of NdSm6Ho.

The structure in POSCAR format:
```
NdSm6Ho
1.0
5.1183 0.0000 0.0000
0.0000 5.1183 0.0000
0.0000 0.0000 10.2400
Nd Sm Ho
1 6 1
Direct
0.0000 0.0000 0.0000 Nd
0.0000 0.5000 0.2524 Sm
0.0000 0.5000 0.7476 Sm
0.5000 0.0000 0.2524 Sm
0.5000 0.0000 0.7476 Sm
0.5000 0.5000 0.0000 Sm
0.5000 0.5000 0.5000 Sm
0.0000 0.0000 0.5000 Ho
```

Output
space group	P4/mmm
formation enthalpy at 0 K	0.15	eV/f.u.
offset from the most stable computed form	0.0	meV/atom